{"formula": "YPbAu2", "functional": "PBE-GGA", "state": "relaxed", "lattice_angstrom": [[4.456, 0.000, 0.000], [0.000, 4.456, 0.000], [0.000, 0.000, 20.284]], "species": ["Y", "Y", "Y", "Y", "Pb", "Pb", "Pb", "Pb", "Au", "Au", "Au", "Au", "Au", "Au", "Au", "Au"], "frac_coords": [[0.000, 0.000, 0.000], [0.000, 0.500, 0.250], [0.500, 0.000, 0.750], [0.500, 0.500, 0.500], [0.000, 0.000, 0.500], [0.000, 0.500, 0.750], [0.500, 0.000, 0.250], [0.500, 0.500, 0.000], [0.247, 0.250, 0.625], [0.250, 0.747, 0.875], [0.250, 0.753, 0.375], [0.253, 0.250, 0.125], [0.747, 0.750, 0.125], [0.750, 0.247, 0.375], [0.750, 0.253, 0.875], [0.753, 0.750, 0.625]], "magmom_total_mub_per_fu": 0.0, "delta_e_f_kj_per_mol_fu": -92.0}